VASP calculation (PBE-GGA) on TaTe2IrRh after structural relaxation.

a b c (Å): 5.223 5.223 4.718
angles (deg): 90.00 90.00 90.00
Sites, in units of the cell vectors:
Ta: 0.000 0.000 0.000
Te: 0.000 0.500 0.000
Te: 0.500 0.000 0.000
Ir: 0.500 0.500 0.500
Rh: 0.000 0.000 0.500

Total DFT energy (no corrections) = -5.494 eV/atom